[1]
{
  "formula": "NdFe2",
  "functional": "PBE-GGA",
  "state": "relaxed",
  "sg": "Fd-3m (227)",
  "crystal_system": "cubic",
  "total_magnetization_mub_per_fu": 3.8,
  "dft_energy_ev_per_atom": -7.041,
  "ef_ev_per_atom": 0.09,
  "lattice": [[-0.910, 0.214, 5.135], [0.554, 4.513, 2.562], [-4.206, 2.511, 1.803]],
  "species": ["Fe", "Fe", "Fe", "Fe", "Nd", "Nd"],
  "fractional_positions": [[0.625, 0.625, 0.125], [0.625, 0.125, 0.625], [0.125, 0.625, 0.625], [0.625, 0.625, 0.625], [0.000, 0.000, 0.000], [0.250, 0.250, 0.250]]
}

=====

[2]
{
  "formula": "NdFeNi",
  "functional": "PBE-GGA",
  "state": "relaxed",
  "sg": "F-43m (216)",
  "crystal_system": "cubic",
  "total_magnetization_mub_per_fu": 2.6,
  "dft_energy_ev_per_atom": -5.785,
  "ef_ev_per_atom": 0.43,
  "lattice": [[0.234, -3.058, 3.095], [-2.063, 0.579, 3.794], [-3.507, -2.400, 0.961]],
  "species": ["Fe", "Nd", "Ni"],
  "fractional_positions": [[0.000, 0.000, 0.000], [0.250, 0.250, 0.250], [0.750, 0.750, 0.750]]
}

=====

[3]
{
  "formula": "NdNpFe",
  "functional": "PBE-GGA",
  "state": "relaxed",
  "sg": "F-43m (216)",
  "crystal_system": "cubic",
  "total_magnetization_mub_per_fu": 0.0,
  "dft_energy_ev_per_atom": -7.765,
  "ef_ev_per_atom": 0.85,
  "lattice": [[0.000, 3.208, 3.208], [3.208, 0.000, 3.208], [3.208, 3.208, 0.000]],
  "species": ["Fe", "Nd", "Np"],
  "fractional_positions": [[0.000, 0.000, 0.000], [0.250, 0.250, 0.250], [0.750, 0.750, 0.750]]
}

=====

[4]
{
  "formula": "NdFeOs",
  "functional": "PBE-GGA",
  "state": "relaxed",
  "sg": "F-43m (216)",
  "crystal_system": "cubic",
  "total_magnetization_mub_per_fu": 3.3,
  "dft_energy_ev_per_atom": -7.492,
  "ef_ev_per_atom": 0.61,
  "lattice": [[0.000, 3.126, 3.126], [3.126, 0.000, 3.126], [3.126, 3.126, 0.000]],
  "species": ["Fe", "Nd", "Os"],
  "fractional_positions": [[0.000, 0.000, 0.000], [0.250, 0.250, 0.250], [0.750, 0.750, 0.750]]
}

=====

[5]
{
  "formula": "NdFeSi2Os",
  "functional": "PBE-GGA",
  "state": "relaxed",
  "sg": "I-4m2 (119)",
  "crystal_system": "tetragonal",
  "total_magnetization_mub_per_fu": 0.0,
  "dft_energy_ev_per_atom": -7.680,
  "lattice": [[2.338, 1.969, 4.863], [2.994, 4.901, -0.095], [-5.088, -1.945, -1.823]],
  "species": ["Fe", "Nd", "Os", "Si", "Si"],
  "fractional_positions": [[0.750, 0.250, 0.500], [0.500, 0.500, 0.000], [0.250, 0.750, 0.500], [0.133, 0.133, 0.000], [0.867, 0.867, 0.000]]
}

=====

[6]
{
  "formula": "NdFeP2Pd",
  "functional": "PBE-GGA",
  "state": "relaxed",
  "sg": "I-4m2 (119)",
  "crystal_system": "tetragonal",
  "total_magnetization_mub_per_fu": 1.9,
  "dft_energy_ev_per_atom": -6.668,
  "lattice": [[-2.426, 4.632, 2.302], [0.476, 5.051, -2.627], [-1.433, -5.375, -1.301]],
  "species": ["Fe", "Nd", "P", "P", "Pd"],
  "fractional_positions": [[0.000, 0.000, 0.000], [0.750, 0.250, 0.500], [0.127, 0.627, 0.500], [0.373, 0.873, 0.500], [0.500, 0.500, 0.000]]
}

=====

[7]
{
  "formula": "PrNdFe2Pb",
  "functional": "PBE-GGA",
  "state": "relaxed",
  "sg": "Amm2 (38)",
  "crystal_system": "orthorhombic",
  "total_magnetization_mub_per_fu": 3.1,
  "dft_energy_ev_per_atom": -6.085,
  "lattice": [[3.995, 0.000, 0.000], [0.000, 1.997, 7.274], [0.000, -1.997, 7.274]],
  "species": ["Fe", "Fe", "Nd", "Pb", "Pr"],
  "fractional_positions": [[0.500, 0.206, 0.206], [0.500, 0.792, 0.792], [0.000, 0.637, 0.637], [0.500, 0.001, 0.001], [0.000, 0.364, 0.364]]
}

=====

[8]
{
  "formula": "NdSmFe2Pb",
  "functional": "PBE-GGA",
  "state": "relaxed",
  "sg": "Amm2 (38)",
  "crystal_system": "orthorhombic",
  "total_magnetization_mub_per_fu": 3.1,
  "dft_energy_ev_per_atom": -6.098,
  "lattice": [[3.947, 0.000, 0.000], [0.000, 1.994, 7.237], [0.000, -1.994, 7.237]],
  "species": ["Fe", "Fe", "Nd", "Pb", "Sm"],
  "fractional_positions": [[0.500, 0.206, 0.206], [0.500, 0.792, 0.792], [0.000, 0.363, 0.363], [0.500, 0.001, 0.001], [0.000, 0.637, 0.637]]
}

=====

[9]
{
  "formula": "NdFeSn2Pd",
  "functional": "PBE-GGA",
  "state": "relaxed",
  "sg": "P4/nmm (129)",
  "crystal_system": "tetragonal",
  "total_magnetization_mub_per_fu": 1.9,
  "dft_energy_ev_per_atom": -5.692,
  "lattice": [[4.668, 0.000, 0.000], [0.000, 4.668, 0.000], [0.000, 0.000, 9.928]],
  "species": ["Fe", "Fe", "Nd", "Nd", "Pd", "Pd", "Sn", "Sn", "Sn", "Sn"],
  "fractional_positions": [[0.000, 0.500, 0.392], [0.500, 0.000, 0.608], [0.500, 0.000, 0.241], [0.000, 0.500, 0.759], [0.000, 0.000, 0.000], [0.500, 0.500, 0.000], [0.000, 0.500, 0.142], [0.000, 0.000, 0.500], [0.500, 0.500, 0.500], [0.500, 0.000, 0.858]]
}

=====

[10]
{
  "formula": "PrNdFe",
  "functional": "PBE-GGA",
  "state": "relaxed",
  "sg": "F-43m (216)",
  "crystal_system": "cubic",
  "total_magnetization_mub_per_fu": 0.4,
  "dft_energy_ev_per_atom": -5.658,
  "ef_ev_per_atom": 0.29,
  "lattice": [[3.340, 1.213, 3.304], [1.016, 4.673, 0.821], [-1.355, 2.082, 4.168]],
  "species": ["Fe", "Nd", "Pr"],
  "fractional_positions": [[0.000, 0.000, 0.000], [0.250, 0.250, 0.250], [0.750, 0.750, 0.750]]
}

=====

[11]
{
  "formula": "PrNdFe2Si4",
  "functional": "PBE-GGA",
  "state": "relaxed",
  "sg": "Pm (6)",
  "crystal_system": "monoclinic",
  "total_magnetization_mub_per_fu": 0.0,
  "dft_energy_ev_per_atom": -6.655,
  "lattice": [[4.351, 0.000, 0.000], [0.000, 4.033, 0.000], [-1.913, 0.000, 7.888]],
  "species": ["Fe", "Fe", "Nd", "Pr", "Si", "Si", "Si", "Si"],
  "fractional_positions": [[0.382, 0.500, 0.108], [0.618, 0.000, 0.891], [0.103, 0.500, 0.706], [0.898, 0.000, 0.295], [0.825, 0.500, 0.004], [0.456, 0.500, 0.403], [0.545, 0.000, 0.598], [0.175, 0.000, 0.995]]
}

=====

[12]
{
  "formula": "PrNdFe2Si2",
  "functional": "PBE-GGA",
  "state": "relaxed",
  "sg": "P4mm (99)",
  "crystal_system": "tetragonal",
  "total_magnetization_mub_per_fu": 0.0,
  "dft_energy_ev_per_atom": -6.734,
  "lattice": [[4.068, 0.000, 0.000], [0.000, 4.068, 0.000], [0.000, 0.000, 6.923]],
  "species": ["Fe", "Fe", "Nd", "Pr", "Si", "Si"],
  "fractional_positions": [[0.500, 0.000, 0.001], [0.000, 0.500, 0.001], [0.000, 0.000, 0.316], [0.500, 0.500, 0.680], [0.500, 0.500, 0.165], [0.000, 0.000, 0.837]]
}